Entry 1:
! KPaCdI6 (PBE, relaxed); values from VASP
&SYSTEM
  ibrav = 0, nat = 18, ntyp = 4
/
ATOMIC_SPECIES
I 126.90 I.upf
Pa 231.04 Pa.upf
K 39.10 K.upf
Cd 112.41 Cd.upf
ATOMIC_POSITIONS crystal
I 0.667 0.613 0.131
I 0.054 0.667 0.869
I 0.333 0.946 0.631
I 0.946 0.613 0.369
I 0.387 0.054 0.131
I 0.387 0.333 0.369
I 0.613 0.667 0.631
I 0.667 0.054 0.369
I 0.054 0.387 0.631
I 0.333 0.387 0.869
I 0.946 0.333 0.131
I 0.613 0.946 0.869
Pa 0.333 0.667 0.750
Pa 0.667 0.333 0.250
K 0.667 0.333 0.750
K 0.333 0.667 0.250
Cd 0.000 0.000 0.500
Cd 0.000 0.000 0.000
CELL_PARAMETERS angstrom
8.651 0.000 0.000
-4.326 7.492 0.000
0.000 0.000 14.628
! raw formation energy: -0.900 eV per atom
! SG: P-31c, No. 163

***

Entry 2:
! KCdPb2I (PBE, relaxed); values from VASP
&SYSTEM
  ibrav = 0, nat = 5, ntyp = 4
/
ATOMIC_SPECIES
K 39.10 K.upf
I 126.90 I.upf
Cd 112.41 Cd.upf
Pb 207.20 Pb.upf
ATOMIC_POSITIONS crystal
K 0.000 0.000 0.000
I 0.000 0.500 0.000
Cd 0.500 0.500 0.500
Pb 0.000 0.000 0.500
Pb 0.500 0.000 0.000
CELL_PARAMETERS angstrom
-1.157 -1.446 6.070
6.064 -0.588 1.016
0.340 6.150 1.530
! raw formation energy: 0.566 eV per atom
! SG: P4/mmm, No. 123

***

Entry 3:
! KPrCdI6 (PBE, relaxed); values from VASP
&SYSTEM
  ibrav = 0, nat = 18, ntyp = 4
/
ATOMIC_SPECIES
I 126.90 I.upf
Pr 140.91 Pr.upf
K 39.10 K.upf
Cd 112.41 Cd.upf
ATOMIC_POSITIONS crystal
I 0.627 0.638 0.635
I 0.373 0.011 0.135
I 0.989 0.627 0.365
I 0.373 0.362 0.365
I 0.011 0.638 0.865
I 0.362 0.373 0.865
I 0.362 0.989 0.635
I 0.989 0.362 0.135
I 0.011 0.373 0.635
I 0.638 0.627 0.135
I 0.638 0.011 0.365
I 0.627 0.989 0.865
Pr 0.333 0.667 0.250
Pr 0.667 0.333 0.750
K 0.000 0.000 0.500
K 0.000 0.000 0.000
Cd 0.667 0.333 0.250
Cd 0.333 0.667 0.750
CELL_PARAMETERS angstrom
7.965 0.000 0.000
-3.983 6.898 0.000
0.000 0.000 15.633
! raw formation energy: -1.135 eV per atom
! SG: P-31c, No. 163

***

Entry 4:
! KPuCdI6 (PBE, relaxed); values from VASP
&SYSTEM
  ibrav = 0, nat = 18, ntyp = 4
/
ATOMIC_SPECIES
Cd 112.41 Cd.upf
I 126.90 I.upf
K 39.10 K.upf
Pu 244.00 Pu.upf
ATOMIC_POSITIONS crystal
Cd 0.333 0.667 0.750
Cd 0.667 0.333 0.250
I 0.636 0.629 0.137
I 0.371 0.364 0.363
I 0.364 0.993 0.637
I 0.007 0.371 0.637
I 0.629 0.993 0.863
I 0.371 0.007 0.137
I 0.364 0.371 0.863
I 0.629 0.636 0.637
I 0.993 0.364 0.137
I 0.993 0.629 0.363
I 0.007 0.636 0.863
I 0.636 0.007 0.363
K 0.000 0.000 0.000
K 0.000 0.000 0.500
Pu 0.667 0.333 0.750
Pu 0.333 0.667 0.250
CELL_PARAMETERS angstrom
7.950 0.000 0.000
-3.975 6.885 0.000
0.000 0.000 15.471
! raw formation energy: -0.975 eV per atom
! SG: P-31c, No. 163

***

Entry 5:
! KRbCdI (PBE, relaxed); values from VASP
&SYSTEM
  ibrav = 0, nat = 4, ntyp = 4
/
ATOMIC_SPECIES
K 39.10 K.upf
Rb 85.47 Rb.upf
I 126.90 I.upf
Cd 112.41 Cd.upf
ATOMIC_POSITIONS crystal
K 0.750 0.750 0.750
Rb 0.250 0.250 0.250
I 0.500 0.500 0.500
Cd 0.000 0.000 0.000
CELL_PARAMETERS angstrom
-5.520 -2.761 -1.590
-0.587 -2.944 -5.622
-0.432 -6.354 -0.239
! raw formation energy: -0.554 eV per atom
! SG: F-43m, No. 216

***

Entry 6:
! KRbCdI4 (PBE, relaxed); values from VASP
&SYSTEM
  ibrav = 0, nat = 14, ntyp = 4
/
ATOMIC_SPECIES
K 39.10 K.upf
I 126.90 I.upf
Rb 85.47 Rb.upf
Cd 112.41 Cd.upf
ATOMIC_POSITIONS crystal
K 0.771 0.750 0.441
K 0.229 0.250 0.559
I 0.999 0.493 0.255
I 0.001 0.507 0.745
I 0.422 0.750 0.124
I 0.568 0.250 0.408
I 0.578 0.250 0.876
I 0.001 0.993 0.745
I 0.432 0.750 0.592
I 0.999 0.007 0.255
Rb 0.243 0.250 0.059
Rb 0.757 0.750 0.941
Cd 0.231 0.750 0.312
Cd 0.769 0.250 0.688
CELL_PARAMETERS angstrom
8.314 0.000 0.089
0.000 8.425 0.000
-3.134 0.000 9.559
! raw formation energy: -1.116 eV per atom
! SG: P2_1/m, No. 11

***

Entry 7:
! K3Rb3CdI8 (PBE, relaxed); values from VASP
&SYSTEM
  ibrav = 0, nat = 15, ntyp = 4
/
ATOMIC_SPECIES
Rb 85.47 Rb.upf
I 126.90 I.upf
K 39.10 K.upf
Cd 112.41 Cd.upf
ATOMIC_POSITIONS crystal
Rb 0.000 0.500 0.000
Rb 0.000 0.000 0.000
Rb 0.500 0.500 0.000
I 0.780 0.993 0.707
I 0.787 0.007 0.293
I 0.746 0.492 0.738
I 0.220 0.007 0.293
I 0.213 0.426 0.707
I 0.213 0.993 0.707
I 0.254 0.508 0.262
I 0.787 0.574 0.293
K 0.000 0.500 0.500
K 0.500 0.500 0.500
K 0.500 0.000 0.500
Cd 0.000 0.000 0.500
CELL_PARAMETERS angstrom
10.149 0.000 0.000
-5.075 8.793 -0.029
0.000 -5.830 8.505
! raw formation energy: -1.297 eV per atom
! SG: R-3m, No. 166

***

Entry 8:
! KCd2ReI (PBE, relaxed); values from VASP
&SYSTEM
  ibrav = 0, nat = 5, ntyp = 4
/
ATOMIC_SPECIES
Cd 112.41 Cd.upf
I 126.90 I.upf
Re 186.21 Re.upf
K 39.10 K.upf
ATOMIC_POSITIONS crystal
Cd 0.000 0.000 0.500
Cd 0.500 0.000 0.000
I 0.500 0.500 0.500
Re 0.000 0.500 0.000
K 0.000 0.000 0.000
CELL_PARAMETERS angstrom
-4.355 3.942 -2.656
-3.051 0.614 5.916
3.733 5.066 1.400
! raw formation energy: 1.502 eV per atom
! SG: P4/mmm, No. 123

***

Entry 9:
! KCdRuI2 (PBE, relaxed); values from VASP
&SYSTEM
  ibrav = 0, nat = 5, ntyp = 4
/
ATOMIC_SPECIES
I 126.90 I.upf
Ru 101.07 Ru.upf
K 39.10 K.upf
Cd 112.41 Cd.upf
ATOMIC_POSITIONS crystal
I 0.500 0.000 0.000
I 0.000 0.000 0.500
Ru 0.000 0.000 0.000
K 0.500 0.500 0.500
Cd 0.000 0.500 0.000
CELL_PARAMETERS angstrom
5.558 0.000 0.000
0.000 5.294 0.000
0.000 0.000 5.558
! raw formation energy: -0.110 eV per atom
! SG: P4/mmm, No. 123

***

Entry 10:
! K2CdSI (PBE, relaxed); values from VASP
&SYSTEM
  ibrav = 0, nat = 5, ntyp = 4
/
ATOMIC_SPECIES
K 39.10 K.upf
S 32.06 S.upf
I 126.90 I.upf
Cd 112.41 Cd.upf
ATOMIC_POSITIONS crystal
K 0.500 0.000 0.000
K 0.000 0.500 0.000
S 0.000 0.000 0.000
I 0.500 0.500 0.500
Cd 0.000 0.000 0.500
CELL_PARAMETERS angstrom
6.191 0.000 0.000
0.000 6.191 0.000
0.000 0.000 5.163
! raw formation energy: -0.912 eV per atom
! SG: P4/mmm, No. 123

***

Entry 11:
! KCdSb2I (PBE, relaxed); values from VASP
&SYSTEM
  ibrav = 0, nat = 5, ntyp = 4
/
ATOMIC_SPECIES
I 126.90 I.upf
Cd 112.41 Cd.upf
Sb 121.76 Sb.upf
K 39.10 K.upf
ATOMIC_POSITIONS crystal
I 0.000 0.000 0.500
Cd 0.000 0.000 0.000
Sb 0.500 0.000 0.000
Sb 0.000 0.500 0.000
K 0.500 0.500 0.500
CELL_PARAMETERS angstrom
5.570 0.000 0.000
0.000 5.570 0.000
0.000 0.000 6.722
! relative energy among the computed polymorphs: 0.000 eV per formula unit
! raw formation energy: 0.024 eV per atom
! SG: P4/mmm, No. 123

***

Entry 12:
! KCdSb2I (PBE, relaxed); values from VASP
&SYSTEM
  ibrav = 0, nat = 5, ntyp = 4
/
ATOMIC_SPECIES
I 126.90 I.upf
Sb 121.76 Sb.upf
Cd 112.41 Cd.upf
K 39.10 K.upf
ATOMIC_POSITIONS crystal
I 0.000 0.000 0.500
Sb 0.500 0.000 0.000
Sb 0.000 0.500 0.000
Cd 0.500 0.500 0.500
K 0.000 0.000 0.000
CELL_PARAMETERS angstrom
6.306 0.000 0.000
0.000 6.306 0.000
0.000 0.000 6.272
! relative energy among the computed polymorphs: 3.872 eV per formula unit
! raw formation energy: 0.798 eV per atom
! SG: P4/mmm, No. 123